(1)
First-principles (GGA-PBEsol) data for a geometry-optimized Y2BeO4 structure, as listed in Alexandria.

```
data_Y2BeO4
_chemical_formula_sum 'Y8 Be4 O16'
_cell_length_a 10.353
_cell_length_b 3.514
_cell_length_c 9.826
_cell_angle_alpha 90.00
_cell_angle_beta 90.00
_cell_angle_gamma 90.00
_symmetry_space_group_name_H-M 'P n m a'
_symmetry_Int_Tables_number 62
_symmetry_space_group_name_Hall '-P 2ac 2n'
loop_
_atom_site_label
_atom_site_type_symbol
_atom_site_fract_x
_atom_site_fract_y
_atom_site_fract_z
Y1 Y 0.090 0.250 0.177
Y2 Y 0.115 0.250 0.590
Be1 Be 0.196 0.250 0.875
O1 O 0.016 0.250 0.386
O2 O 0.047 0.250 0.850
O3 O 0.220 0.750 0.244
O4 O 0.248 0.750 0.519
```

=====

(2)
First-principles (GGA-PBEsol) data for a geometry-optimized BeZnO3 structure, as listed in Alexandria.

```
data_BeZnO3
_chemical_formula_sum 'Be1 Zn1 O3'
_cell_length_a 3.457
_cell_length_b 3.457
_cell_length_c 3.457
_cell_angle_alpha 90.00
_cell_angle_beta 90.00
_cell_angle_gamma 90.00
_symmetry_space_group_name_H-M 'P m -3 m'
_symmetry_Int_Tables_number 221
_symmetry_space_group_name_Hall '-P 4 2 3'
loop_
_atom_site_label
_atom_site_type_symbol
_atom_site_fract_x
_atom_site_fract_y
_atom_site_fract_z
Be1 Be 0.000 0.000 0.000
Zn1 Zn 0.500 0.500 0.500
O1 O 0.000 0.000 0.500
```

=====

Number 1: theoretical density 4.66 g cm⁻³, uncorrected energy -248.40 eV per cell. Number 2: theoretical density 4.92 g cm⁻³, uncorrected energy -25.28 eV per cell.